Record 1
Dy6ErTh2Sc3 | PBE | relaxed

abc: 6.050 6.050 11.477
angles: 95.04 95.04 119.98
Element x y z (fractional)
Dy 0.079 0.414 0.243
Dy 0.250 0.250 0.757
Dy 0.414 0.079 0.243
Dy 0.586 0.921 0.757
Dy 0.750 0.750 0.243
Dy 0.921 0.586 0.757
Er 0.500 0.500 0.500
Th 0.167 0.833 0.500
Th 0.833 0.167 0.500
Sc 0.000 0.000 0.000
Sc 0.333 0.667 0.000
Sc 0.667 0.333 0.000

Computed properties:
**Volume**: 29.86 A^3/atom
**Space group**: No. 12
**DOS at the Fermi energy**: 19.211 states/eV/cell
**Electronic total energy**: -5.447 eV per atom
**Energy of formation**: 0.054 eV/atom

=====

Record 2
DyEr2ThSc | PBE | relaxed

abc: 6.112 5.615 9.318
angles: 90.00 109.09 90.00
Element x y z (fractional)
Dy 0.236 0.250 0.308
Dy 0.764 0.750 0.692
Er 0.038 0.250 0.898
Er 0.422 0.250 0.696
Er 0.578 0.750 0.304
Er 0.962 0.750 0.102
Th 0.371 0.750 0.900
Th 0.629 0.250 0.100
Sc 0.166 0.750 0.506
Sc 0.834 0.250 0.494

Computed properties:
**Volume**: 30.22 A^3/atom
**Space group**: No. 11
**DOS at the Fermi energy**: 15.780 states/eV/cell
**Electronic total energy**: -5.456 eV per atom
**Energy of formation**: 0.040 eV/atom